No. 1
Tb2Sm12Ho5 (PBE-GGA, relaxed); energy = -4.548 eV per atom; symmetry = C2/m
1.0
7.915 -4.628 0.000
7.915 4.628 0.000
-0.232 0.000 8.669
Tb Sm Ho
2 12 5
direct
0.173 0.827 0.000
0.827 0.173 0.000
0.061 0.061 0.340
0.067 0.678 0.329
0.166 0.529 0.762
0.322 0.933 0.671
0.414 0.414 0.117
0.471 0.834 0.238
0.529 0.166 0.762
0.586 0.586 0.883
0.678 0.067 0.329
0.834 0.471 0.238
0.933 0.322 0.671
0.939 0.939 0.660
0.201 0.201 0.022
0.269 0.269 0.431
0.500 0.500 0.500
0.731 0.731 0.569
0.799 0.799 0.978


No. 2
AcTbCo (PBE-GGA, relaxed); energy = -5.294 eV per atom; symmetry = P3m1
1.0
4.079 0.000 0.000
-2.039 3.532 0.000
0.000 0.000 6.401
Ac Tb Co
1 1 1
direct
0.000 0.000 0.000
0.333 0.667 0.541
0.667 0.333 0.751


No. 3
TlSnCl3 (PBE-GGA, relaxed); energy = -2.887 eV per atom; formation energy without anion corrections = -49 kJ/mol of atoms; symmetry = I-4m2
1.0
-2.860 2.860 11.121
2.860 -2.860 11.121
2.860 2.860 -11.121
Tl Sn Cl
2 2 6
direct
0.000 0.000 0.000
0.750 0.250 0.500
0.167 0.667 0.500
0.333 0.833 0.500
0.302 0.302 0.000
0.371 0.122 0.248
0.698 0.698 0.000
0.874 0.122 0.752
0.878 0.126 0.248
0.878 0.629 0.752


No. 4
Ta3Zn5 (PBE-GGA, relaxed); energy = -5.144 eV per atom; symmetry = Cm
1.0
2.562 -7.138 0.000
2.562 7.138 0.000
-1.961 0.000 6.982
Ta Zn
6 10
direct
0.000 0.000 0.000
0.055 0.686 0.335
0.395 0.787 0.642
0.611 0.611 0.641
0.686 0.055 0.335
0.787 0.395 0.642
0.002 0.210 0.696
0.105 0.105 0.406
0.210 0.002 0.696
0.214 0.470 0.274
0.232 0.816 0.987
0.423 0.638 0.969
0.470 0.214 0.274
0.638 0.423 0.969
0.638 0.638 0.246
0.816 0.232 0.987


No. 5
VTeCl2 (PBE-GGA, relaxed); energy = -4.126 eV per atom; formation energy without anion corrections = -13 kJ/mol of atoms; symmetry = I-42d
1.0
7.464 0.000 0.000
0.000 7.464 0.000
0.000 0.000 9.305
V Te Cl
4 4 8
direct
0.000 0.000 0.000
0.000 0.500 0.250
0.500 0.000 0.750
0.500 0.500 0.500
0.000 0.000 0.500
0.000 0.500 0.750
0.500 0.000 0.250
0.500 0.500 0.000
0.093 0.250 0.125
0.250 0.593 0.375
0.250 0.907 0.875
0.407 0.250 0.625
0.593 0.750 0.625
0.750 0.093 0.875
0.750 0.407 0.375
0.907 0.750 0.125


No. 6
Y4Te3Au (PBE-GGA, relaxed); energy = -6.035 eV per atom; formation energy without anion corrections = -117 kJ/mol of atoms; symmetry = Cmmm
1.0
8.903 0.000 0.000
0.000 12.316 0.000
0.000 0.000 4.220
Y Te Au
8 6 2
direct
0.000 0.240 0.000
0.000 0.760 0.000
0.229 0.000 0.500
0.271 0.500 0.500
0.500 0.260 0.000
0.500 0.740 0.000
0.729 0.500 0.500
0.771 0.000 0.500
0.000 0.500 0.000
0.250 0.250 0.500
0.250 0.750 0.500
0.500 0.000 0.000
0.750 0.250 0.500
0.750 0.750 0.500
0.000 0.000 0.000
0.500 0.500 0.000


No. 7
Li4TlTc (PBE-GGA, relaxed); energy = -3.076 eV per atom; symmetry = F-43m
1.0
0.000 3.544 3.544
3.544 0.000 3.544
3.544 3.544 0.000
Li Tl Tc
4 1 1
direct
0.123 0.123 0.123
0.123 0.123 0.631
0.123 0.631 0.123
0.631 0.123 0.123
0.500 0.500 0.500
0.750 0.750 0.750